1.
Ho2Tm3Mg | GGA-PBE | optimized geometry

magnetization	0.0	μB per formula unit
V	30.4	Å³/atom
symmetry	C2/c, No. 15
energy above the most stable polymorph in this dataset	0.019	eV/atom
calculated formation energy	0.144	eV/atom
VASP energy	-46.61	eV/cell
density of states at the Fermi level	7.50	states/eV/f.u.

Lattice parameters (Å, degrees): 7.465 7.465 9.653 99.70 136.47 81.07
Fractional positions:
Tm 0.226 0.328 0.513
Tm 0.685 0.287 0.013
Tm 0.199 0.949 0.250
Tm 0.774 0.672 0.487
Tm 0.801 0.051 0.750
Tm 0.315 0.713 0.987
Mg 0.928 0.678 0.250
Mg 0.072 0.322 0.750
Ho 0.703 0.070 0.308
Ho 0.297 0.930 0.692
Ho 0.738 0.605 0.808
Ho 0.262 0.395 0.192

---

2.
CsAlSeN2 | GGA-PBE | optimized geometry

magnetization	3.3	μB per formula unit
V	19.6	Å³/atom
symmetry	P4/mmm, No. 123
energy above the most stable polymorph in this dataset	0.000	eV/atom
VASP energy	-20.98	eV/cell
density of states at the Fermi level	3.05	states/eV/f.u.

Lattice parameters (Å, degrees): 4.367 4.367 5.142 90.00 90.00 90.00
Each line ends with the local moment (μB).
Fractional positions:
Al 0.000 0.000 0.000  -0.03
N 0.000 0.500 0.000  1.05
N 0.500 0.000 0.000  1.05
Cs 0.500 0.500 0.500  0.00
Se 0.000 0.000 0.500  0.09